In5GaHg6 (PBE, relaxed); crystal system = triclinic; calculated formation energy = 0.01 eV/atom; V = 26.18 Å³ per atom; spin magnetization = 0.00 μB/f.u.
1.0
5.804 0.963 -1.514
-2.996 6.514 -1.988
0.436 0.585 7.405
Hg Ga In
6 1 5
direct
0.237 0.079 0.397
0.765 0.603 0.920
0.741 0.235 0.235
0.259 0.765 0.765
0.235 0.397 0.080
0.763 0.921 0.603
0.000 0.000 0.000
0.500 0.182 0.820
0.001 0.339 0.660
0.500 0.500 0.500
0.999 0.661 0.340
0.500 0.818 0.180


ScCuI4 (PBE, relaxed); crystal system = monoclinic; uncorrected formation energy = -18.33 kcal/mol of atoms; V = 37.75 Å³ per atom; spin magnetization = 0.00 μB/f.u.
1.0
-0.431 -0.245 -4.055
-3.141 -7.396 2.838
-4.817 5.603 0.174
Sc Cu I
1 1 4
direct
0.500 0.000 0.500
0.000 0.000 0.000
0.403 0.805 0.071
0.120 0.240 0.474
0.597 0.195 0.929
0.880 0.760 0.526


Cs3KSc (PBE, relaxed); crystal system = cubic; calculated formation energy = 0.81 eV/atom; V = 102.05 Å³ per atom; spin magnetization = 1.71 μB/f.u.
1.0
-7.111 -1.160 -3.456
0.506 -7.816 1.584
-3.610 1.191 7.029
Cs Sc K
3 1 1
direct
0.000 0.500 0.000
0.000 0.000 0.500
0.500 0.000 0.000
0.500 0.500 0.500
0.000 0.000 0.000


PuTe2Pb (PBE, relaxed); crystal system = trigonal; uncorrected formation energy = -16.25 kcal/mol of atoms; V = 33.15 Å³ per atom; spin magnetization = 1.93 μB/f.u.
1.0
-0.229 -3.334 -3.030
-1.826 -0.539 4.090
-19.554 8.288 -7.640
Pu Te Pb
3 6 3
direct
0.333 0.667 0.657
0.667 0.333 0.343
0.000 0.000 0.500
0.333 0.667 0.913
0.667 0.333 0.087
0.333 0.667 0.421
0.667 0.333 0.579
0.000 0.000 0.738
0.000 0.000 0.262
0.667 0.333 0.827
0.333 0.667 0.173
0.000 0.000 0.000


CaPm3Tl2 (PBE, relaxed); crystal system = orthorhombic; calculated formation energy = -0.32 eV/atom; V = 30.61 Å³ per atom; spin magnetization = 0.74 μB/f.u.
1.0
-5.074 2.150 0.036
-2.277 -5.310 -3.822
-2.023 -4.909 8.025
Ca Pm Tl
2 6 4
direct
0.500 0.501 0.502
0.500 0.001 0.498
0.000 0.499 0.998
0.000 0.999 0.002
0.500 0.747 0.167
0.500 0.247 0.833
0.000 0.253 0.333
0.000 0.753 0.667
0.500 0.749 0.834
0.500 0.249 0.166
0.000 0.251 0.665
0.000 0.751 0.335


K2TcRu (PBE, relaxed); crystal system = monoclinic; calculated formation energy = 0.76 eV/atom; V = 30.51 Å³ per atom; spin magnetization = 0.00 μB/f.u.
1.0
4.304 0.004 -0.005
3.226 2.849 -0.005
0.405 0.153 9.965
K Ru Tc
2 1 1
direct
0.992 0.992 0.089
0.760 0.760 0.659
0.511 0.511 0.414
0.238 0.238 0.338


Ho2PuSc4 (PBE, relaxed); crystal system = orthorhombic; calculated formation energy = 0.58 eV/atom; V = 29.01 Å³ per atom; spin magnetization = 8.46 μB/f.u.
1.0
-4.335 2.476 2.072
-3.236 -4.812 -1.022
3.110 0.174 6.300
Ho Pu Sc
2 1 4
direct
0.500 0.120 0.240
0.500 0.880 0.760
0.000 0.500 0.000
0.500 0.626 0.251
0.000 0.746 0.491
0.500 0.374 0.749
0.000 0.254 0.509


Pa4ReGeSe2 (PBE, relaxed); crystal system = monoclinic; uncorrected formation energy = -16.33 kcal/mol of atoms; V = 24.31 Å³ per atom; spin magnetization = 0.00 μB/f.u.
1.0
-1.101 -3.745 0.979
2.058 1.157 6.742
-5.561 2.586 3.638
Pa Re Ge Se
4 1 1 2
direct
0.000 0.738 0.740
0.000 0.262 0.260
0.500 0.729 0.269
0.500 0.271 0.731
0.000 0.500 0.500
0.500 0.500 0.000
0.000 0.000 0.000
0.500 0.000 0.500